The following is a DFT calculation (PBE) of crystalline Mo2PtW at its relaxed geometry. Values from VASP.

Geometry as Quantum ESPRESSO input:
```
&SYSTEM
  ibrav = 0, nat = 4, ntyp = 3
/
ATOMIC_SPECIES
Mo 95.94 Mo.upf
Pt 195.08 Pt.upf
W 183.84 W.upf
ATOMIC_POSITIONS crystal
Mo 0.999 0.999 0.999
Mo 0.757 0.757 0.746
Pt 0.500 0.500 0.499
W 0.244 0.244 0.256
CELL_PARAMETERS angstrom
-0.313 4.105 2.637
-0.502 2.052 4.409
4.867 0.480 1.074
```

Computed properties:
Density of states at the Fermi level: 3.1 states/eV per cell
Volume: 15.827 Å³ per atom
Raw total energy: -10.16 eV per atom
DFT formation energy: 0.002 eV per atom